1.
{
  "formula": "ScCdInW2",
  "functional": "PBE-GGA",
  "state": "relaxed",
  "lattice_angstrom": [[4.9705, 0.0000, 0.0000], [0.0000, 4.9705, 0.0000], [0.0000, 0.0000, 5.0855]],
  "species": ["Sc", "Cd", "In", "W", "W"],
  "frac_coords": [[0.0000, 0.0000, 0.0000], [0.5000, 0.5000, 0.0000], [0.0000, 0.0000, 0.5000], [0.0000, 0.5000, 0.5000], [0.5000, 0.0000, 0.5000]],
  "e_form_kj_per_mol_fu": 949,
  "magmom_total_mub_per_atom": 0.00,
  "n_ef_per_ev_atom": 0.6405,
  "e_tot_ry_per_atom": -0.383,
  "mass_density_g_cm3": 8.46
}

2.
{
  "formula": "Co2Ni5Rh",
  "functional": "PBE-GGA",
  "state": "relaxed",
  "lattice_angstrom": [[5.0847, 0.0000, 0.0000], [0.0000, 10.1526, 0.0000], [0.0000, 0.0000, 3.5498]],
  "species": ["Co", "Co", "Co", "Co", "Ni", "Ni", "Ni", "Ni", "Ni", "Ni", "Ni", "Ni", "Ni", "Ni", "Rh", "Rh"],
  "frac_coords": [[0.2472, 0.1281, 0.0000], [0.2528, 0.6281, 0.0000], [0.7472, 0.3719, 0.0000], [0.7528, 0.8719, 0.0000], [0.0000, 0.0000, 0.5000], [0.0047, 0.2490, 0.5000], [0.2409, 0.8724, 0.0000], [0.2591, 0.3724, 0.0000], [0.4953, 0.7490, 0.5000], [0.5000, 0.5000, 0.5000], [0.5047, 0.2510, 0.5000], [0.7409, 0.6276, 0.0000], [0.7591, 0.1276, 0.0000], [0.9953, 0.7510, 0.5000], [0.0000, 0.5000, 0.5000], [0.5000, 0.0000, 0.5000]],
  "e_form_kj_per_mol_fu": 13,
  "magmom_total_mub_per_atom": 1.04,
  "n_ef_per_ev_atom": 1.3589,
  "e_tot_ry_per_atom": -0.462,
  "e_above_lowest_polymorph_mev_per_atom": 0,
  "mass_density_g_cm3": 9.32
}

3.
{
  "formula": "Li2CdS",
  "functional": "PBE-GGA",
  "state": "relaxed",
  "lattice_angstrom": [[0.0000, 3.3088, 3.3088], [3.3088, 0.0000, 3.3088], [3.3088, 3.3088, 0.0000]],
  "species": ["Li", "Li", "Cd", "S"],
  "frac_coords": [[0.2500, 0.2500, 0.2500], [0.7500, 0.7500, 0.7500], [0.0000, 0.0000, 0.0000], [0.5000, 0.5000, 0.5000]],
  "magmom_total_mub_per_atom": 0.00,
  "n_ef_per_ev_atom": 0.0000,
  "e_tot_ry_per_atom": -0.201,
  "e_above_lowest_polymorph_mev_per_atom": 80,
  "mass_density_g_cm3": 3.63
}